No. 1
{"formula": "BaAl2Ir", "functional": "GGA-PBE", "state": "relaxed", "space_group": "No. 160", "dos_ef_per_ev_cell": 2.2, "dft_energy_ev_per_atom": -4.32, "total_magnetization_mub_per_cell": 0.0, "lattice": [[9.822, 0.033, 0.019], [9.290, 3.188, 0.019], [9.290, 1.565, 2.777]], "species": ["Ir", "Ba", "Al", "Al"], "fractional_positions": [[0.733, 0.733, 0.733], [0.494, 0.494, 0.494], [0.007, 0.007, 0.007], [0.266, 0.266, 0.266]]}

No. 2
{"formula": "Ba2CdIn6Hg", "functional": "GGA-PBE", "state": "relaxed", "space_group": "No. 166", "dos_ef_per_ev_cell": 6.0, "dft_energy_ev_per_atom": -2.30, "total_magnetization_mub_per_cell": 0.0, "lattice": [[7.384, 0.000, 0.000], [3.692, 6.394, 0.000], [3.692, 2.131, 14.035]], "species": ["Ba", "Ba", "Ba", "Ba", "Cd", "Cd", "In", "In", "In", "In", "In", "In", "In", "In", "In", "In", "In", "In", "Hg", "Hg"], "fractional_positions": [[0.862, 0.862, 0.414], [0.138, 0.138, 0.586], [0.692, 0.692, 0.923], [0.308, 0.308, 0.077], [0.584, 0.584, 0.249], [0.416, 0.416, 0.751], [0.938, 0.354, 0.355], [0.354, 0.938, 0.355], [0.354, 0.354, 0.355], [0.062, 0.646, 0.645], [0.646, 0.062, 0.645], [0.646, 0.646, 0.645], [0.785, 0.193, 0.829], [0.193, 0.785, 0.829], [0.193, 0.193, 0.829], [0.215, 0.807, 0.171], [0.807, 0.215, 0.171], [0.807, 0.807, 0.171], [0.000, 0.000, 0.000], [0.500, 0.500, 0.500]]}

No. 3
{"formula": "MnIn2Te4", "functional": "GGA-PBE", "state": "relaxed", "space_group": "No. 121", "dos_ef_per_ev_cell": 0.2, "e_form_raw_kj_per_mol_fu": -185, "total_magnetization_mub_per_cell": 5.0, "lattice": [[-3.016, -7.029, 0.890], [4.944, -4.396, 3.941], [-2.859, 7.010, 1.409]], "species": ["Mn", "In", "In", "Te", "Te", "Te", "Te"], "fractional_positions": [[0.500, 0.500, 0.000], [0.750, 0.250, 0.500], [0.250, 0.750, 0.500], [0.656, 0.656, 0.531], [0.875, 0.344, 0.000], [0.125, 0.125, 0.469], [0.344, 0.875, 0.000]]}

No. 4
{"formula": "GaSn", "functional": "GGA-PBE", "state": "relaxed", "space_group": "No. 59", "dos_ef_per_ev_cell": 1.2, "dft_energy_ev_per_atom": -3.47, "total_magnetization_mub_per_cell": 0.0, "lattice": [[-3.192, 1.027, -1.114], [0.224, -2.405, -2.860], [-2.986, -4.987, 3.959]], "species": ["Ga", "Ga", "Sn", "Sn"], "fractional_positions": [[0.250, 0.750, 0.602], [0.750, 0.250, 0.398], [0.250, 0.750, 0.150], [0.750, 0.250, 0.850]]}

No. 5
{"formula": "ErTaRu2", "functional": "GGA-PBE", "state": "relaxed", "space_group": "No. 225", "dos_ef_per_ev_cell": 2.4, "e_above_lowest_polymorph_ev_per_atom": 0.0576, "total_magnetization_mub_per_cell": 0.0, "lattice": [[-1.522, 4.328, 0.382], [-3.403, 1.492, -2.718], [-4.167, 0.826, 1.773]], "species": ["Ru", "Ru", "Er", "Ta"], "fractional_positions": [[0.250, 0.250, 0.250], [0.750, 0.750, 0.750], [0.500, 0.500, 0.500], [0.000, 0.000, 0.000]]}

No. 6
{"formula": "TbCeScHg", "functional": "GGA-PBE", "state": "relaxed", "space_group": "No. 216", "dos_ef_per_ev_cell": 7.8, "dft_energy_ev_per_atom": -4.30, "total_magnetization_mub_per_cell": 0.7, "lattice": [[-2.599, -3.617, -2.688], [1.288, -0.994, -4.941], [2.318, -4.491, -1.231]], "species": ["Sc", "Tb", "Hg", "Ce"], "fractional_positions": [[0.000, 0.000, 0.000], [0.500, 0.500, 0.500], [0.750, 0.750, 0.750], [0.250, 0.250, 0.250]]}

No. 7
{"formula": "Cs3HgO", "functional": "GGA-PBE", "state": "relaxed", "space_group": "No. 221", "dos_ef_per_ev_cell": 6.9, "e_above_lowest_polymorph_ev_per_atom": 0.0683, "e_form_raw_kj_per_mol_fu": -281, "total_magnetization_mub_per_cell": 0.0, "lattice": [[-2.801, -3.119, -4.333], [2.614, -5.068, 1.958], [-4.655, -0.970, 3.707]], "species": ["Cs", "Cs", "Cs", "Hg", "O"], "fractional_positions": [[0.000, 0.500, 0.000], [0.000, 0.000, 0.500], [0.500, 0.000, 0.000], [0.500, 0.500, 0.500], [0.000, 0.000, 0.000]]}

No. 8
{"formula": "LuZrRuPt", "functional": "GGA-PBE", "state": "relaxed", "space_group": "No. 216", "dos_ef_per_ev_cell": 2.2, "dft_energy_ev_per_atom": -7.92, "total_magnetization_mub_per_cell": 0.0, "lattice": [[-3.828, 0.690, -2.693], [-4.321, -0.387, 1.887], [-2.665, 3.860, 0.621]], "species": ["Ru", "Lu", "Zr", "Pt"], "fractional_positions": [[0.750, 0.750, 0.750], [0.000, 0.000, 0.000], [0.500, 0.500, 0.500], [0.250, 0.250, 0.250]]}

No. 9
{"formula": "CoCu2SnH", "functional": "GGA-PBE", "state": "relaxed", "space_group": "No. 123", "dos_ef_per_ev_cell": 3.2, "dft_energy_ev_per_atom": -4.44, "total_magnetization_mub_per_cell": 0.0, "lattice": [[-1.329, -2.612, -2.495], [1.757, -2.790, 1.985], [-3.162, -0.455, 2.161]], "species": ["H", "Co", "Sn", "Cu", "Cu"], "fractional_positions": [[0.000, 0.000, 0.000], [0.000, 0.000, 0.500], [0.500, 0.500, 0.500], [0.000, 0.500, 0.000], [0.500, 0.000, 0.000]]}

No. 10
{"formula": "LaHg2Br", "functional": "GGA-PBE", "state": "relaxed", "space_group": "No. 8", "dos_ef_per_ev_cell": 2.0, "e_above_lowest_polymorph_ev_per_atom": 0.0080, "e_form_raw_kj_per_mol_fu": -269, "total_magnetization_mub_per_cell": 0.0, "lattice": [[-2.031, -4.601, -2.674], [2.008, -3.940, -3.590], [1.411, -4.441, 3.019]], "species": ["Hg", "Hg", "Br", "La"], "fractional_positions": [[0.004, 0.004, 0.961], [0.752, 0.752, 0.793], [0.236, 0.236, 0.321], [0.509, 0.509, 0.425]]}

No. 11
{"formula": "Y3Er2Ag2", "functional": "GGA-PBE", "state": "relaxed", "space_group": "No. 12", "dos_ef_per_ev_cell": 8.3, "e_above_lowest_polymorph_ev_per_atom": 0.0000, "total_magnetization_mub_per_cell": 0.0, "lattice": [[-4.112, -2.682, -2.096], [4.808, -0.259, -2.305], [-0.073, -5.027, 6.576]], "species": ["Y", "Y", "Y", "Er", "Er", "Ag", "Ag"], "fractional_positions": [[0.500, 0.000, 0.000], [0.661, 0.322, 0.483], [0.339, 0.678, 0.517], [0.925, 0.849, 0.273], [0.075, 0.151, 0.727], [0.787, 0.575, 0.865], [0.213, 0.425, 0.135]]}

No. 12
{"formula": "Sm3ErTl2", "functional": "GGA-PBE", "state": "relaxed", "space_group": "No. 12", "dos_ef_per_ev_cell": 11.8, "e_above_lowest_polymorph_ev_per_atom": 0.0956, "total_magnetization_mub_per_cell": 0.0, "lattice": [[-4.635, 1.054, 1.637], [1.317, -8.311, 1.361], [3.906, 6.555, 6.836]], "species": ["Sm", "Sm", "Sm", "Sm", "Sm", "Sm", "Er", "Er", "Tl", "Tl", "Tl", "Tl"], "fractional_positions": [[0.289, 0.579, 0.621], [0.958, 0.916, 0.639], [0.633, 0.266, 0.669], [0.367, 0.734, 0.331], [0.042, 0.084, 0.361], [0.711, 0.421, 0.379], [0.882, 0.764, 0.931], [0.118, 0.236, 0.069], [0.513, 0.025, 0.861], [0.487, 0.975, 0.139], [0.759, 0.518, 0.103], [0.241, 0.482, 0.897]]}

> What is the formula in the twelfth record?

Sm3ErTl2